Record 1
The following is a PBE-GGA calculation of ZnIn2Mo after structural relaxation, from Alexandria via LeMat-Bulk.

Values from the calculation:
* crystal system: orthorhombic
* symmetry: Cmm2, No. 35
* total DFT energy (no corrections): -32.70 eV/cell

```
data_ZnIn2Mo
_chemical_formula_sum 'Zn2 In4 Mo2'
_space_group_name_H-M_alt 'P 1'
_space_group_IT_number 1
_space_group_name_Hall 'P 1'
_cell_length_a 4.129
_cell_length_b 4.142
_cell_length_c 9.288
_cell_angle_alpha 90.00
_cell_angle_beta 90.00
_cell_angle_gamma 90.00
loop_
_atom_site_label
_atom_site_fract_x
_atom_site_fract_y
_atom_site_fract_z
_atom_site_occupancy
Zn1 0.000 0.000 0.000 1
Zn2 0.500 0.500 0.000 1
In1 0.000 0.000 0.562 1
In2 0.000 0.500 0.255 1
In3 0.500 0.000 0.255 1
In4 0.500 0.500 0.562 1
Mo1 0.000 0.500 0.801 1
Mo2 0.500 0.000 0.801 1
```

Record 2
The following is a PBE-GGA calculation of ZnIn2Mo after structural relaxation, from Alexandria via LeMat-Bulk.

Values from the calculation:
* crystal system: tetragonal
* symmetry: I4/mmm, No. 139
* total DFT energy (no corrections): -33.57 eV/cell

```
data_ZnIn2Mo
_chemical_formula_sum 'Zn2 In4 Mo2'
_space_group_name_H-M_alt 'P 1'
_space_group_IT_number 1
_space_group_name_Hall 'P 1'
_cell_length_a 4.046
_cell_length_b 4.046
_cell_length_c 8.990
_cell_angle_alpha 90.00
_cell_angle_beta 90.00
_cell_angle_gamma 90.00
loop_
_atom_site_label
_atom_site_fract_x
_atom_site_fract_y
_atom_site_fract_z
_atom_site_occupancy
Zn1 0.000 0.000 0.000 1
Zn2 0.500 0.500 0.500 1
In1 0.000 0.500 0.250 1
In2 0.000 0.500 0.750 1
In3 0.500 0.000 0.250 1
In4 0.500 0.000 0.750 1
Mo1 0.000 0.000 0.500 1
Mo2 0.500 0.500 0.000 1
```

Record 3
The following is a PBE-GGA calculation of ZnIn2Mo after structural relaxation, from Alexandria via LeMat-Bulk.

Values from the calculation:
* crystal system: orthorhombic
* symmetry: Pmm2, No. 25
* total DFT energy (no corrections): -16.52 eV/cell

```
data_ZnIn2Mo
_chemical_formula_sum 'Zn1 In2 Mo1'
_space_group_name_H-M_alt 'P 1'
_space_group_IT_number 1
_space_group_name_Hall 'P 1'
_cell_length_a 2.930
_cell_length_b 4.990
_cell_length_c 5.156
_cell_angle_alpha 90.00
_cell_angle_beta 90.00
_cell_angle_gamma 90.00
loop_
_atom_site_label
_atom_site_fract_x
_atom_site_fract_y
_atom_site_fract_z
_atom_site_occupancy
Zn1 0.000 0.000 0.000 1
In1 0.500 0.000 0.478 1
In2 0.500 0.500 0.834 1
Mo1 0.000 0.500 0.319 1
```

Record 4
The following is a PBE-GGA calculation of ZnIn2Mo after structural relaxation, from Alexandria via LeMat-Bulk.

Values from the calculation:
* crystal system: monoclinic
* symmetry: C2/m, No. 12
* total DFT energy (no corrections): -32.34 eV/cell

```
data_ZnIn2Mo
_chemical_formula_sum 'Zn2 In4 Mo2'
_space_group_name_H-M_alt 'P 1'
_space_group_IT_number 1
_space_group_name_Hall 'P 1'
_cell_length_a 10.102
_cell_length_b 2.905
_cell_length_c 5.242
_cell_angle_alpha 90.00
_cell_angle_beta 95.97
_cell_angle_gamma 90.00
loop_
_atom_site_label
_atom_site_fract_x
_atom_site_fract_y
_atom_site_fract_z
_atom_site_occupancy
Zn1 0.000 0.000 0.000 1
Zn2 0.500 0.500 0.000 1
In1 0.238 0.000 0.744 1
In2 0.262 0.500 0.256 1
In3 0.738 0.500 0.744 1
In4 0.762 0.000 0.256 1
Mo1 0.000 0.500 0.500 1
Mo2 0.500 0.000 0.500 1
```

Record 5
The following is a PBE-GGA calculation of ZnInMo3 after structural relaxation, from Alexandria via LeMat-Bulk.

Values from the calculation:
* energy above the lowest structure with this stoichiometry: 0 meV per atom
* crystal system: cubic
* symmetry: Pm-3m, No. 221
* total DFT energy (no corrections): -29.27 eV/cell

```
data_ZnInMo3
_chemical_formula_sum 'Zn1 In1 Mo3'
_space_group_name_H-M_alt 'P 1'
_space_group_IT_number 1
_space_group_name_Hall 'P 1'
_cell_length_a 4.600
_cell_length_b 4.600
_cell_length_c 4.600
_cell_angle_alpha 90.00
_cell_angle_beta 90.00
_cell_angle_gamma 90.00
loop_
_atom_site_label
_atom_site_fract_x
_atom_site_fract_y
_atom_site_fract_z
_atom_site_occupancy
Zn1 0.000 0.000 0.000 1
In1 0.500 0.500 0.500 1
Mo1 0.000 0.000 0.500 1
Mo2 0.000 0.500 0.000 1
Mo3 0.500 0.000 0.000 1
```

Record 6
The following is a PBE-GGA calculation of ZnIn2Mo after structural relaxation, from Alexandria via LeMat-Bulk.

Values from the calculation:
* crystal system: monoclinic
* symmetry: C2/m, No. 12
* total DFT energy (no corrections): -32.81 eV/cell

```
data_ZnIn2Mo
_chemical_formula_sum 'Zn2 In4 Mo2'
_space_group_name_H-M_alt 'P 1'
_space_group_IT_number 1
_space_group_name_Hall 'P 1'
_cell_length_a 5.868
_cell_length_b 8.525
_cell_length_c 3.001
_cell_angle_alpha 90.00
_cell_angle_beta 90.35
_cell_angle_gamma 90.00
loop_
_atom_site_label
_atom_site_fract_x
_atom_site_fract_y
_atom_site_fract_z
_atom_site_occupancy
Zn1 0.000 0.000 0.000 1
Zn2 0.500 0.500 0.000 1
In1 0.250 0.250 0.500 1
In2 0.250 0.750 0.500 1
In3 0.750 0.250 0.500 1
In4 0.750 0.750 0.500 1
Mo1 0.000 0.500 0.000 1
Mo2 0.500 0.000 0.000 1
```

Record 7
The following is a PBE-GGA calculation of ZnIn2Mo after structural relaxation, from Alexandria via LeMat-Bulk.

Values from the calculation:
* crystal system: cubic
* symmetry: F-43m, No. 216
* total DFT energy (no corrections): -60.08 eV/cell

```
data_ZnIn2Mo
_chemical_formula_sum 'Zn4 In8 Mo4'
_space_group_name_H-M_alt 'P 1'
_space_group_IT_number 1
_space_group_name_Hall 'P 1'
_cell_length_a 6.727
_cell_length_b 6.727
_cell_length_c 6.727
_cell_angle_alpha 90.00
_cell_angle_beta 90.00
_cell_angle_gamma 90.00
loop_
_atom_site_label
_atom_site_fract_x
_atom_site_fract_y
_atom_site_fract_z
_atom_site_occupancy
Zn1 0.000 0.000 0.000 1
Zn2 0.000 0.500 0.500 1
Zn3 0.500 0.000 0.500 1
Zn4 0.500 0.500 0.000 1
In1 0.000 0.000 0.500 1
In2 0.000 0.500 0.000 1
In3 0.250 0.250 0.750 1
In4 0.250 0.750 0.250 1
In5 0.500 0.000 0.000 1
In6 0.500 0.500 0.500 1
In7 0.750 0.250 0.250 1
In8 0.750 0.750 0.750 1
Mo1 0.250 0.250 0.250 1
Mo2 0.250 0.750 0.750 1
Mo3 0.750 0.250 0.750 1
Mo4 0.750 0.750 0.250 1
```

Record 8
The following is a PBE-GGA calculation of ZnIn4Mo after structural relaxation, from Alexandria via LeMat-Bulk.

Values from the calculation:
* crystal system: cubic
* symmetry: F-43m, No. 216
* total DFT energy (no corrections): -18.91 eV/cell

```
data_ZnIn4Mo
_chemical_formula_sum 'Zn1 In4 Mo1'
_space_group_name_H-M_alt 'P 1'
_space_group_IT_number 1
_space_group_name_Hall 'P 1'
_cell_length_a 5.718
_cell_length_b 5.718
_cell_length_c 5.718
_cell_angle_alpha 60.00
_cell_angle_beta 60.00
_cell_angle_gamma 60.00
loop_
_atom_site_label
_atom_site_fract_x
_atom_site_fract_y
_atom_site_fract_z
_atom_site_occupancy
Zn1 0.000 0.000 0.000 1
In1 0.125 0.625 0.625 1
In2 0.625 0.125 0.625 1
In3 0.625 0.625 0.125 1
In4 0.625 0.625 0.625 1
Mo1 0.250 0.250 0.250 1
```

Record 9
The following is a PBE-GGA calculation of ZnIn2Mo after structural relaxation, from Alexandria via LeMat-Bulk.

Values from the calculation:
* crystal system: tetragonal
* symmetry: I-42d, No. 122
* total DFT energy (no corrections): -60.82 eV/cell

```
data_ZnIn2Mo
_chemical_formula_sum 'Zn4 In8 Mo4'
_space_group_name_H-M_alt 'P 1'
_space_group_IT_number 1
_space_group_name_Hall 'P 1'
_cell_length_a 7.484
_cell_length_b 7.484
_cell_length_c 5.720
_cell_angle_alpha 90.00
_cell_angle_beta 90.00
_cell_angle_gamma 90.00
loop_
_atom_site_label
_atom_site_fract_x
_atom_site_fract_y
_atom_site_fract_z
_atom_site_occupancy
Zn1 0.000 0.000 0.000 1
Zn2 0.000 0.500 0.250 1
Zn3 0.500 0.000 0.750 1
Zn4 0.500 0.500 0.500 1
In1 0.232 0.250 0.125 1
In2 0.250 0.732 0.375 1
In3 0.250 0.768 0.875 1
In4 0.268 0.250 0.625 1
In5 0.732 0.750 0.625 1
In6 0.750 0.232 0.875 1
In7 0.750 0.268 0.375 1
In8 0.768 0.750 0.125 1
Mo1 0.000 0.000 0.500 1
Mo2 0.000 0.500 0.750 1
Mo3 0.500 0.000 0.250 1
Mo4 0.500 0.500 0.000 1
```

Record 10
The following is a PBE-GGA calculation of ZnInMo3 after structural relaxation, from Alexandria via LeMat-Bulk.

Values from the calculation:
* energy above the lowest structure with this stoichiometry: 978 meV per atom
* crystal system: cubic
* symmetry: Pm-3m, No. 221
* total DFT energy (no corrections): -24.38 eV/cell

```
data_ZnInMo3
_chemical_formula_sum 'Zn1 In1 Mo3'
_space_group_name_H-M_alt 'P 1'
_space_group_IT_number 1
_space_group_name_Hall 'P 1'
_cell_length_a 4.892
_cell_length_b 4.892
_cell_length_c 4.892
_cell_angle_alpha 90.00
_cell_angle_beta 90.00
_cell_angle_gamma 90.00
loop_
_atom_site_label
_atom_site_fract_x
_atom_site_fract_y
_atom_site_fract_z
_atom_site_occupancy
Zn1 0.000 0.000 0.000 1
In1 0.500 0.500 0.500 1
Mo1 0.000 0.500 0.500 1
Mo2 0.500 0.000 0.500 1
Mo3 0.500 0.500 0.000 1
```

Record 11
The following is a PBE-GGA calculation of ZnIn2Mo after structural relaxation, from Alexandria via LeMat-Bulk.

Values from the calculation:
* crystal system: tetragonal
* symmetry: P4/mmm, No. 123
* total DFT energy (no corrections): -16.28 eV/cell

```
data_ZnIn2Mo
_chemical_formula_sum 'Zn1 In2 Mo1'
_space_group_name_H-M_alt 'P 1'
_space_group_IT_number 1
_space_group_name_Hall 'P 1'
_cell_length_a 4.265
_cell_length_b 4.265
_cell_length_c 4.103
_cell_angle_alpha 90.00
_cell_angle_beta 90.00
_cell_angle_gamma 90.00
loop_
_atom_site_label
_atom_site_fract_x
_atom_site_fract_y
_atom_site_fract_z
_atom_site_occupancy
Zn1 0.000 0.000 0.000 1
In1 0.000 0.500 0.500 1
In2 0.500 0.000 0.500 1
Mo1 0.500 0.500 0.000 1
```

Record 12
The following is a PBE-GGA calculation of Zn4InMo after structural relaxation, from Alexandria via LeMat-Bulk.

Values from the calculation:
* crystal system: cubic
* symmetry: F-43m, No. 216
* total DFT energy (no corrections): -17.03 eV/cell

```
data_Zn4InMo
_chemical_formula_sum 'Zn4 In1 Mo1'
_space_group_name_H-M_alt 'P 1'
_space_group_IT_number 1
_space_group_name_Hall 'P 1'
_cell_length_a 5.133
_cell_length_b 5.133
_cell_length_c 5.133
_cell_angle_alpha 60.00
_cell_angle_beta 60.00
_cell_angle_gamma 60.00
loop_
_atom_site_label
_atom_site_fract_x
_atom_site_fract_y
_atom_site_fract_z
_atom_site_occupancy
Zn1 0.376 0.376 0.376 1
Zn2 0.376 0.376 0.871 1
Zn3 0.376 0.871 0.376 1
Zn4 0.871 0.376 0.376 1
In1 0.000 0.000 0.000 1
Mo1 0.750 0.750 0.750 1
```

Among the records above, which one has the lowest total DFT energy (no corrections)?
number 9

Which of these has the highest total DFT energy (no corrections)?
number 11